No. 1
A plane-wave DFT calculation with PBE-GGA was carried out for a relaxed structure of CeLuZnTc.

abc: 4.910 4.910 4.910
angles: 60.00 60.00 60.00
Sites, in units of the cell vectors:
Lu 0.750 0.750 0.750
Ce 0.250 0.250 0.250
Zn 0.000 0.000 0.000
Tc 0.500 0.500 0.500

Magnetization = 0.0 μB per formula unit
Crystal system = cubic
Uncorrected energy = -5.68 eV/atom

---

No. 2
A plane-wave DFT calculation with PBE-GGA was carried out for a relaxed structure of CeLuTe.

abc: 3.870 3.870 6.391
angles: 107.62 107.62 90.00
Sites, in units of the cell vectors:
Lu 0.315 0.315 0.630
Te 0.678 0.678 0.357
Ce 0.007 0.007 0.013

Magnetization = 1.2 μB per formula unit
Energy relative to the lowest polymorph listed for this composition = 0.00 eV per formula unit
Crystal system = tetragonal
Formation energy from raw total energies = -0.663 eV per atom

---

No. 3
A plane-wave DFT calculation with PBE-GGA was carried out for a relaxed structure of CeLuTe2.

abc: 3.816 5.346 5.346
angles: 90.00 90.00 90.00
Sites, in units of the cell vectors:
Te 0.000 0.500 0.000
Te 0.000 0.000 0.500
Lu 0.500 0.500 0.500
Ce 0.500 0.000 0.000

Magnetization = 1.9 μB per formula unit
Energy relative to the lowest polymorph listed for this composition = 0.00 eV per formula unit
Crystal system = tetragonal
Formation energy from raw total energies = -1.119 eV per atom

---

No. 4
A plane-wave DFT calculation with PBE-GGA was carried out for a relaxed structure of CeLuTe2.

abc: 4.279 4.279 10.064
angles: 77.73 77.73 60.00
Sites, in units of the cell vectors:
Lu 0.000 0.000 0.000
Te 0.100 0.100 0.699
Te 0.900 0.900 0.301
Ce 0.500 0.500 0.500

Magnetization = 1.2 μB per formula unit
Energy relative to the lowest polymorph listed for this composition = 1.42 eV per formula unit
Crystal system = trigonal
Formation energy from raw total energies = -0.764 eV per atom

---

No. 5
A plane-wave DFT calculation with PBE-GGA was carried out for a relaxed structure of Ce2LuTe.

abc: 4.169 4.169 6.658
angles: 90.00 90.00 90.00
Sites, in units of the cell vectors:
Ce 0.000 0.000 0.699
Ce 0.000 0.000 0.301
Te 0.500 0.500 0.500
Lu 0.500 0.500 0.000

Magnetization = 0.2 μB per formula unit
Energy relative to the lowest polymorph listed for this composition = 0.00 eV per formula unit
Crystal system = tetragonal
Formation energy from raw total energies = -0.503 eV per atom

---

No. 6
A plane-wave DFT calculation with PBE-GGA was carried out for a relaxed structure of CeLuTe.

abc: 3.843 5.147 5.147
angles: 120.00 90.00 90.00
Sites, in units of the cell vectors:
Lu 0.165 0.000 0.000
Te 0.169 0.333 0.667
Ce 0.666 0.667 0.333

Magnetization = 2.1 μB per formula unit
Energy relative to the lowest polymorph listed for this composition = 0.52 eV per formula unit
Crystal system = trigonal
Formation energy from raw total energies = -0.489 eV per atom

---

No. 7
A plane-wave DFT calculation with PBE-GGA was carried out for a relaxed structure of Ce2LuTe.

abc: 5.436 5.436 5.435
angles: 59.99 59.99 60.00
Sites, in units of the cell vectors:
Ce 0.750 0.750 0.750
Ce 0.250 0.250 0.250
Lu 0.500 0.500 0.500
Te 0.000 0.000 0.000

Magnetization = 2.0 μB per formula unit
Energy relative to the lowest polymorph listed for this composition = 1.20 eV per formula unit
Crystal system = cubic
Formation energy from raw total energies = -0.203 eV per atom

---

No. 8
A plane-wave DFT calculation with PBE-GGA was carried out for a relaxed structure of CeLu2Th.

abc: 5.580 5.580 5.580
angles: 60.00 60.00 60.00
Sites, in units of the cell vectors:
Lu 0.750 0.750 0.750
Lu 0.250 0.250 0.250
Th 0.000 0.000 0.000
Ce 0.500 0.500 0.500

Magnetization = 0.8 μB per formula unit
Energy relative to the lowest polymorph listed for this composition = 0.32 eV per formula unit
Crystal system = cubic

---

No. 9
A plane-wave DFT calculation with PBE-GGA was carried out for a relaxed structure of CeLu2Th.

abc: 4.896 4.970 4.970
angles: 90.00 90.00 90.00
Sites, in units of the cell vectors:
Lu 0.000 0.000 0.500
Lu 0.000 0.500 0.000
Ce 0.500 0.000 0.000
Th 0.500 0.500 0.500

Magnetization = 0.7 μB per formula unit
Energy relative to the lowest polymorph listed for this composition = 0.00 eV per formula unit
Crystal system = tetragonal

---

No. 10
A plane-wave DFT calculation with PBE-GGA was carried out for a relaxed structure of CeLuTh2.

abc: 3.526 3.526 9.792
angles: 90.00 90.00 90.00
Sites, in units of the cell vectors:
Th 0.000 0.000 0.753
Th 0.000 0.000 0.247
Lu 0.500 0.500 0.500
Ce 0.500 0.500 0.000

Magnetization = 0.0 μB per formula unit
Energy relative to the lowest polymorph listed for this composition = 0.00 eV per formula unit
Crystal system = tetragonal

---

No. 11
A plane-wave DFT calculation with PBE-GGA was carried out for a relaxed structure of CeLuTh.

abc: 3.497 3.497 8.518
angles: 90.00 90.00 120.00
Sites, in units of the cell vectors:
Th 0.000 0.000 0.997
Lu 0.667 0.333 0.332
Ce 0.333 0.667 0.671

Magnetization = 0.0 μB per formula unit
Energy relative to the lowest polymorph listed for this composition = 0.00 eV per formula unit
Crystal system = trigonal

---

No. 12
A plane-wave DFT calculation with PBE-GGA was carried out for a relaxed structure of CeLuTh2.

abc: 4.883 5.006 5.006
angles: 90.00 90.00 90.00
Sites, in units of the cell vectors:
Lu 0.500 0.500 0.500
Th 0.000 0.500 0.000
Th 0.000 0.000 0.500
Ce 0.500 0.000 0.000

Magnetization = 0.5 μB per formula unit
Energy relative to the lowest polymorph listed for this composition = 0.13 eV per formula unit
Crystal system = tetragonal

---

| no. | calculated density (g/cm³) |
| --- | --- |
| 1 | 9.495 |
| 2 | 8.498 |
| 3 | 8.684 |
| 4 | 6.120 |
| 5 | 8.364 |
| 6 | 8.339 |
| 7 | 8.523 |
| 8 | 9.760 |
| 9 | 9.916 |
| 10 | 10.628 |
| 11 | 10.068 |
| 12 | 10.573 |